First-principles (PBE) data for an optimized crystal structure of La5PmPr2Er, as listed in Alexandria.

The space group is I4/mcm (No. 140) and the conventional cell measures 9.0230, 9.0230 and 16.0101 Å, with angles of 90.00, 90.00 and 90.00 degrees. The asymmetric unit holds La at (0.0000, 0.0000, 0.0000), La at (0.2130, 0.2870, 0.1418), Pm at (0.0000, 0.0000, 0.2500), Pr at (0.1172, 0.3828, 0.5000) and Er at (0.0000, 0.5000, 0.2500).

The calculation puts the formation energy at 261.5 meV per atom. The value obtained for the volume is 36.2 Å³/atom. The density of states at the Fermi level comes out at 1.89 states/eV/atom.